Crystalline BeGeS2 at its relaxed geometry, computed with PBEsol.

abc: 3.973 3.973 19.456
angles: 90.00 90.00 120.00
Atoms (fractional coordinates):
Be: 0.000 0.000 0.000
Be: 0.333 0.667 0.667
Be: 0.667 0.333 0.333
Ge: 0.000 0.000 0.500
Ge: 0.333 0.667 0.167
Ge: 0.667 0.333 0.833
S: 0.000 0.000 0.097
S: 0.000 0.000 0.903
S: 0.333 0.667 0.570
S: 0.333 0.667 0.763
S: 0.667 0.333 0.237
S: 0.667 0.333 0.430

Values from the calculation:
Formation energy from raw total energies (eV per atom): -0.232
Space group: R-3m (166)


Crystalline Ta3AsI at its relaxed geometry, computed with PBEsol.

abc: 4.939 4.939 4.939
angles: 90.00 90.00 90.00
Atoms (fractional coordinates):
Ta: 0.000 0.000 0.500
Ta: 0.000 0.500 0.000
Ta: 0.500 0.000 0.000
As: 0.500 0.500 0.500
I: 0.000 0.000 0.000

Values from the calculation:
Formation energy from raw total energies (eV per atom): 2.213
Space group: Pm-3m (221)


Crystalline CoSb3Ru at its relaxed geometry, computed with PBEsol.

abc: 4.736 4.736 4.736
angles: 90.00 90.00 90.00
Atoms (fractional coordinates):
Co: 0.000 0.000 0.000
Sb: 0.000 0.000 0.500
Sb: 0.000 0.500 0.000
Sb: 0.500 0.000 0.000
Ru: 0.500 0.500 0.500

Values from the calculation:
Formation energy from raw total energies (eV per atom): 0.817
Space group: Pm-3m (221)


Crystalline KAgCl3 at its relaxed geometry, computed with PBEsol.

abc: 4.995 4.995 4.995
angles: 90.00 90.00 90.00
Atoms (fractional coordinates):
K: 0.000 0.000 0.000
Ag: 0.500 0.500 0.500
Cl: 0.000 0.500 0.500
Cl: 0.500 0.000 0.500
Cl: 0.500 0.500 0.000

Values from the calculation:
Formation energy from raw total energies (eV per atom): -1.039
Space group: Pm-3m (221)


Computed values of electronic total energy (unit: eV/cell) for the preceding records, in sequence: -55.910; -33.461; -27.495; -15.662.